1.
Compound: LaPrSm2Se4
Source: Alexandria
Functional: GGA-PBE
Structure: relaxed

```
data_LaPrSm2Se4
_cell_length_a 4.1876
_cell_length_b 7.3817
_cell_length_c 7.3287
_cell_angle_alpha 71.03
_cell_angle_beta 90.00
_cell_angle_gamma 90.00
_symmetry_space_group_name_H-M 'P 1'
_symmetry_Int_Tables_number 1
_symmetry_space_group_name_Hall 'P 1'
loop_
_atom_site_label
_atom_site_fract_x
_atom_site_fract_y
_atom_site_fract_z
Sm1 0.0000 0.0000 0.0000
Sm2 0.5000 0.0000 0.5000
Se1 0.5000 0.7588 0.2477
Se2 0.0000 0.7595 0.7460
Se3 0.5000 0.2412 0.7523
Se4 0.0000 0.2405 0.2540
La1 0.5000 0.5000 0.0000
Pr1 0.0000 0.5000 0.5000
```

Values from the calculation:
Formation energy without anion corrections: -1.872 eV/atom

=====

2.
Compound: La2PrSm3Se6
Source: Alexandria
Functional: GGA-PBE
Structure: relaxed

```
data_La2PrSm3Se6
_cell_length_a 7.3308
_cell_length_b 7.3308
_cell_length_c 7.3543
_cell_angle_alpha 99.55
_cell_angle_beta 99.55
_cell_angle_gamma 120.21
_symmetry_space_group_name_H-M 'P 1'
_symmetry_Int_Tables_number 1
_symmetry_space_group_name_Hall 'P 1'
loop_
_atom_site_label
_atom_site_fract_x
_atom_site_fract_y
_atom_site_fract_z
Sm1 0.8340 0.1660 0.5000
Sm2 0.1660 0.8340 0.5000
Sm3 0.5000 0.5000 0.5000
Se1 0.4193 0.0862 0.2591
Se2 0.9138 0.5807 0.7409
Se3 0.0862 0.4193 0.2591
Se4 0.2459 0.2459 0.7403
Se5 0.7541 0.7541 0.2597
Se6 0.5807 0.9138 0.7409
Pr1 0.0000 0.0000 0.0000
La1 0.3340 0.6660 0.0000
La2 0.6660 0.3340 0.0000
```

Values from the calculation:
Formation energy without anion corrections: -1.889 eV/atom

=====

3.
Compound: LaPr2Sm3Se6
Source: Alexandria
Functional: GGA-PBE
Structure: relaxed

```
data_LaPr2Sm3Se6
_cell_length_a 7.3147
_cell_length_b 7.3147
_cell_length_c 7.3481
_cell_angle_alpha 99.53
_cell_angle_beta 99.53
_cell_angle_gamma 120.24
_symmetry_space_group_name_H-M 'P 1'
_symmetry_Int_Tables_number 1
_symmetry_space_group_name_Hall 'P 1'
loop_
_atom_site_label
_atom_site_fract_x
_atom_site_fract_y
_atom_site_fract_z
Se1 0.5801 0.9134 0.7412
Se2 0.0866 0.4199 0.2588
Se3 0.7524 0.7524 0.2584
Se4 0.9134 0.5801 0.7412
Se5 0.2476 0.2476 0.7416
Se6 0.4199 0.0866 0.2588
Sm1 0.5000 0.5000 0.5000
Sm2 0.8323 0.1677 0.5000
Sm3 0.1677 0.8323 0.5000
Pr1 0.6676 0.3324 0.0000
Pr2 0.3324 0.6676 0.0000
La1 0.0000 0.0000 0.0000
```

Values from the calculation:
Formation energy without anion corrections: -1.862 eV/atom

=====

4.
Compound: LaPr2SmSe4
Source: Alexandria
Functional: GGA-PBE
Structure: relaxed

```
data_LaPr2SmSe4
_cell_length_a 4.2209
_cell_length_b 7.3776
_cell_length_c 7.4058
_cell_angle_alpha 70.92
_cell_angle_beta 90.00
_cell_angle_gamma 90.00
_symmetry_space_group_name_H-M 'P 1'
_symmetry_Int_Tables_number 1
_symmetry_space_group_name_Hall 'P 1'
loop_
_atom_site_label
_atom_site_fract_x
_atom_site_fract_y
_atom_site_fract_z
La1 0.5000 0.5000 0.0000
Se1 0.0000 0.7483 0.7460
Se2 0.5000 0.7448 0.2561
Se3 0.5000 0.2552 0.7439
Se4 0.0000 0.2517 0.2540
Sm1 0.0000 0.5000 0.5000
Pr1 0.5000 0.0000 0.5000
Pr2 0.0000 0.0000 0.0000
```

Values from the calculation:
Formation energy without anion corrections: -1.876 eV/atom